Compound: SrY2RuC
Source: Alexandria
Functional: GGA-PBE
Structure: relaxed

For the density of states at the Fermi level, the calculation gives 6.57 states/eV/cell. The calculation puts the energy relative to the elements at 13.1 eV/f.u. The size of the total moment comes out at 0.300 μB/f.u.

The structure belongs to space group P4/mmm (No. 123); the cell edges are 5.6356, 5.6356 and 4.5792 Å and the angles 90.00°, 90.00° and 90.00°. The distinct sites, in fractional coordinates, are Sr at (0.0000, 0.0000, 0.0000), Y at (0.0000, 0.5000, 0.0000), Ru at (0.0000, 0.0000, 0.5000) and C at (0.5000, 0.5000, 0.5000).